# Li3ReCl

A geometry-optimized Li3ReCl structure (PBE, the Alexandria database).

Computed properties:
Raw formation energy ... 917 meV/atom
Electronic total energy ... -3.090 eV/atom

Unit cell a=5.1659 b=5.1659 c=5.1659 alpha=90.00 beta=90.00 gamma=90.00
With the nearest neighbours (Å) after each atom.
Fractional coordinates of all 5 atoms:
Li 0.0000 0.0000 0.5000  2 Re 2.58
Li 0.0000 0.5000 0.0000  2 Re 2.58
Li 0.5000 0.0000 0.0000  2 Re 2.58
Re 0.0000 0.0000 0.0000  6 Li 2.58
Cl 0.5000 0.5000 0.5000  12 Li 3.65